This record from Alexandria describes an optimized crystal structure of LiPrGdIn. The functional is GGA-PBE.

Its energy of formation is -0.2720 eV per atom. The value obtained for the density of states at the Fermi level is 1.057 states/eV/atom. Its total energy is -98.4 eV/cell.

Cell and atoms, written as CIF:
```
data_LiPrGdIn
_space_group_name_H-M_alt 'F -4 3 m'
_space_group_IT_number 216
_space_group_name_Hall 'F -4 2 3'
_cell_length_a 7.6419
_cell_length_b 7.6419
_cell_length_c 7.6419
_cell_angle_alpha 90.00
_cell_angle_beta 90.00
_cell_angle_gamma 90.00
loop_
_atom_site_label
_atom_site_fract_x
_atom_site_fract_y
_atom_site_fract_z
Li1 0.0000 0.0000 0.0000
Pr1 0.2500 0.2500 0.7500
Gd1 0.2500 0.2500 0.2500
In1 0.0000 0.0000 0.5000
```